## Tb3Pu2ThSe6 (PBE)

Data for a relaxed structure of Tb3Pu2ThSe6. Values from VASP.

Summary:
* symmetry: C2/m, No. 12
* formation energy (no corrections): -1.67 eV/atom

The structure in Quantum ESPRESSO input format:
```
&SYSTEM
  ibrav = 0, nat = 12, ntyp = 4
/
ATOMIC_SPECIES
Tb 158.93 Tb.upf
Pu 244.00 Pu.upf
Th 232.04 Th.upf
Se 78.96 Se.upf
CELL_PARAMETERS angstrom
9.0235 -2.0488 0.0000
9.0235 2.0488 0.0000
-2.0101 0.0000 8.0741
ATOMIC_POSITIONS crystal
Tb 0.0000 0.0000 0.0000
Tb 0.3338 0.3338 0.6666
Tb 0.6662 0.6662 0.3334
Pu 0.3341 0.3341 0.1681
Pu 0.6659 0.6659 0.8319
Th 0.0000 0.0000 0.5000
Se 0.1666 0.1666 0.0849
Se 0.1697 0.1697 0.5820
Se 0.4987 0.4987 0.7580
Se 0.5013 0.5013 0.2420
Se 0.8303 0.8303 0.4180
Se 0.8334 0.8334 0.9151
```

## PWAuCl2 (PBE)

Data for a relaxed structure of PWAuCl2. Values from VASP.

Summary:
* polymorph energy (0 for the lowest one): 0 meV/atom
* symmetry: P4/mmm, No. 123
* formation energy (no corrections): 0.43 eV/atom

The structure in Quantum ESPRESSO input format:
```
&SYSTEM
  ibrav = 0, nat = 5, ntyp = 4
/
ATOMIC_SPECIES
P 30.97 P.upf
W 183.84 W.upf
Au 196.97 Au.upf
Cl 35.45 Cl.upf
CELL_PARAMETERS angstrom
4.6765 0.0000 0.0000
0.0000 4.6765 0.0000
0.0000 0.0000 4.9124
ATOMIC_POSITIONS crystal
P 0.0000 0.0000 0.0000
W 0.0000 0.0000 0.5000
Au 0.5000 0.5000 0.0000
Cl 0.0000 0.5000 0.5000
Cl 0.5000 0.0000 0.5000
```

## RbAl2Si (PBE)

Data for a relaxed structure of RbAl2Si. Values from VASP.

Summary:
* symmetry: I4_1/amd, No. 141
* formation energy (no corrections): 0.32 eV/atom

The structure in Quantum ESPRESSO input format:
```
&SYSTEM
  ibrav = 0, nat = 8, ntyp = 3
/
ATOMIC_SPECIES
Rb 85.47 Rb.upf
Al 26.98 Al.upf
Si 28.09 Si.upf
CELL_PARAMETERS angstrom
-2.6873 2.6873 8.6371
2.6873 -2.6873 8.6371
2.6873 2.6873 -8.6371
ATOMIC_POSITIONS crystal
Rb 0.3750 0.6250 0.7500
Rb 0.6250 0.3750 0.2500
Al 0.0000 0.0000 0.0000
Al 0.0000 0.0000 0.5000
Al 0.0000 0.5000 0.0000
Al 0.5000 0.0000 0.5000
Si 0.1250 0.8750 0.2500
Si 0.8750 0.1250 0.7500
```

## Tb3Mg2Zr (PBE)

Data for a relaxed structure of Tb3Mg2Zr. Values from VASP.

Summary:
* calculated formation energy: -0.4 kcal/mol of atoms
* symmetry: P4/mmm, No. 123

The structure in Quantum ESPRESSO input format:
```
&SYSTEM
  ibrav = 0, nat = 6, ntyp = 3
/
ATOMIC_SPECIES
Tb 158.93 Tb.upf
Mg 24.30 Mg.upf
Zr 91.22 Zr.upf
CELL_PARAMETERS angstrom
3.4575 0.0000 0.0000
0.0000 3.4575 0.0000
0.0000 0.0000 13.8084
ATOMIC_POSITIONS crystal
Tb 0.0000 0.0000 0.0000
Tb 0.0000 0.0000 0.3362
Tb 0.0000 0.0000 0.6638
Mg 0.5000 0.5000 0.1648
Mg 0.5000 0.5000 0.8352
Zr 0.5000 0.5000 0.5000
```

## Sr2AlCo (PBE)

Data for a relaxed structure of Sr2AlCo. Values from VASP.

Summary:
* calculated formation energy: 2.7 kcal/mol of atoms
* symmetry: P4mm, No. 99

The structure in Quantum ESPRESSO input format:
```
&SYSTEM
  ibrav = 0, nat = 4, ntyp = 3
/
ATOMIC_SPECIES
Sr 87.62 Sr.upf
Al 26.98 Al.upf
Co 58.93 Co.upf
CELL_PARAMETERS angstrom
3.4890 0.0000 0.0000
0.0000 3.4890 0.0000
0.0000 0.0000 9.0158
ATOMIC_POSITIONS crystal
Sr 0.0000 0.0000 0.0000
Sr 0.5000 0.5000 0.4050
Al 0.0000 0.0000 0.6607
Co 0.5000 0.5000 0.7453
```

## CsTl2InHg (PBE)

Data for a relaxed structure of CsTl2InHg. Values from VASP.

Summary:
* calculated formation energy: 1.0 kcal/mol of atoms
* polymorph energy (0 for the lowest one): 135 meV/atom
* symmetry: P4/mmm, No. 123

The structure in Quantum ESPRESSO input format:
```
&SYSTEM
  ibrav = 0, nat = 5, ntyp = 4
/
ATOMIC_SPECIES
Cs 132.91 Cs.upf
Tl 204.38 Tl.upf
In 114.82 In.upf
Hg 200.59 Hg.upf
CELL_PARAMETERS angstrom
6.0938 0.0000 0.0000
0.0000 6.0938 0.0000
0.0000 0.0000 5.6909
ATOMIC_POSITIONS crystal
Cs 0.0000 0.0000 0.0000
Tl 0.0000 0.5000 0.5000
Tl 0.5000 0.0000 0.5000
In 0.5000 0.5000 0.5000
Hg 0.5000 0.5000 0.0000
```

## Al2FeTe (PBE)

Data for a relaxed structure of Al2FeTe. Values from VASP.

Summary:
* symmetry: I-42d, No. 122
* formation energy (no corrections): 0.54 eV/atom

The structure in Quantum ESPRESSO input format:
```
&SYSTEM
  ibrav = 0, nat = 8, ntyp = 3
/
ATOMIC_SPECIES
Al 26.98 Al.upf
Fe 55.84 Fe.upf
Te 127.60 Te.upf
CELL_PARAMETERS angstrom
-3.1857 3.1857 5.1254
3.1857 -3.1857 5.1254
3.1857 3.1857 -5.1254
ATOMIC_POSITIONS crystal
Al 0.0860 0.6250 0.9610
Al 0.3750 0.3360 0.4610
Al 0.6640 0.1250 0.0390
Al 0.8750 0.9140 0.5390
Fe 0.0000 0.0000 0.0000
Fe 0.7500 0.2500 0.5000
Te 0.2500 0.7500 0.5000
Te 0.5000 0.5000 0.0000
```

## NaHg3Au (PBE)

Data for a relaxed structure of NaHg3Au. Values from VASP.

Summary:
* calculated formation energy: -3.5 kcal/mol of atoms
* polymorph energy (0 for the lowest one): 0 meV/atom
* symmetry: C2/m, No. 12

The structure in Quantum ESPRESSO input format:
```
&SYSTEM
  ibrav = 0, nat = 10, ntyp = 3
/
ATOMIC_SPECIES
Na 22.99 Na.upf
Hg 200.59 Hg.upf
Au 196.97 Au.upf
CELL_PARAMETERS angstrom
7.6279 -2.1095 0.0000
7.6279 2.1095 0.0000
-2.8500 0.0000 8.0157
ATOMIC_POSITIONS crystal
Na 0.1241 0.1241 0.0175
Na 0.8759 0.8759 0.9825
Hg 0.0756 0.0756 0.4203
Hg 0.2751 0.2751 0.6729
Hg 0.3594 0.3594 0.2638
Hg 0.6406 0.6406 0.7362
Hg 0.7249 0.7249 0.3271
Hg 0.9244 0.9244 0.5797
Au 0.4747 0.4747 0.8288
Au 0.5253 0.5253 0.1712
```

## Y2TaRu (PBE)

Data for a relaxed structure of Y2TaRu. Values from VASP.

Summary:
* calculated formation energy: 8.5 kcal/mol of atoms
* polymorph energy (0 for the lowest one): 476 meV/atom
* symmetry: C2/m, No. 12

The structure in Quantum ESPRESSO input format:
```
&SYSTEM
  ibrav = 0, nat = 4, ntyp = 3
/
ATOMIC_SPECIES
Y 88.91 Y.upf
Ta 180.95 Ta.upf
Ru 101.07 Ru.upf
CELL_PARAMETERS angstrom
3.0096 -4.6772 0.0000
3.0096 4.6772 0.0000
-0.9425 0.0000 3.0277
ATOMIC_POSITIONS crystal
Y 0.0000 0.5000 0.0000
Y 0.5000 0.0000 0.0000
Ta 0.0000 0.0000 0.5000
Ru 0.5000 0.5000 0.5000
```

## Pr2InPb5 (PBE)

Data for a relaxed structure of Pr2InPb5. Values from VASP.

Summary:
* calculated formation energy: -9.4 kcal/mol of atoms
* symmetry: Pbam, No. 55

The structure in Quantum ESPRESSO input format:
```
&SYSTEM
  ibrav = 0, nat = 16, ntyp = 3
/
ATOMIC_SPECIES
Pr 140.91 Pr.upf
In 114.82 In.upf
Pb 207.20 Pb.upf
CELL_PARAMETERS angstrom
6.8925 0.0000 0.0000
0.0000 13.8044 0.0000
0.0000 0.0000 4.9780
ATOMIC_POSITIONS crystal
Pr 0.2436 0.1262 0.0000
Pr 0.2564 0.6262 0.0000
Pr 0.7436 0.3738 0.0000
Pr 0.7564 0.8738 0.0000
In 0.0000 0.5000 0.5000
In 0.5000 0.0000 0.5000
Pb 0.0000 0.0000 0.5000
Pb 0.0029 0.7472 0.5000
Pb 0.2431 0.3773 0.0000
Pb 0.2569 0.8773 0.0000
Pb 0.4971 0.2472 0.5000
Pb 0.5000 0.5000 0.5000
Pb 0.5029 0.7528 0.5000
Pb 0.7431 0.1227 0.0000
Pb 0.7569 0.6227 0.0000
Pb 0.9971 0.2528 0.5000
```

## InGaPtO2 (PBE)

Data for a relaxed structure of InGaPtO2. Values from VASP.

Summary:
* symmetry: P4/mmm, No. 123
* formation energy (no corrections): 0.00 eV/atom

The structure in Quantum ESPRESSO input format:
```
&SYSTEM
  ibrav = 0, nat = 5, ntyp = 4
/
ATOMIC_SPECIES
In 114.82 In.upf
Ga 69.72 Ga.upf
Pt 195.08 Pt.upf
O 16.00 O.upf
CELL_PARAMETERS angstrom
3.9526 0.0000 0.0000
0.0000 3.9526 0.0000
0.0000 0.0000 5.6942
ATOMIC_POSITIONS crystal
In 0.0000 0.0000 0.0000
Ga 0.5000 0.5000 0.0000
Pt 0.0000 0.0000 0.5000
O 0.0000 0.5000 0.5000
O 0.5000 0.0000 0.5000
```